No. 1
Entry from Alexandria via LeMat-Bulk: an optimized crystal structure of Cr3RhAu (GGA-PBE).

Calculated values
Electronic total energy (eV/atom): -6.3893
Space-group type: Pm-3m

a = 4.4471 Å, b = 4.4471 Å, c = 4.4471 Å
α = 90.00°, β = 90.00°, γ = 90.00°
With the nearest neighbours (Å) after each atom.
Sites, in units of the cell vectors:
1 Rh 0.0000 0.0000 0.0000  6 Cr 2.22
2 Au 0.5000 0.5000 0.5000  12 Cr 3.14
3 Cr 0.0000 0.5000 0.0000  2 Rh 2.22
4 Cr 0.0000 0.0000 0.5000  2 Rh 2.22
5 Cr 0.5000 0.0000 0.0000  2 Rh 2.22

---

No. 2
Entry from Alexandria via LeMat-Bulk: an optimized crystal structure of V4Tc2Mo (GGA-PBE).

Calculated values
Electronic total energy (eV/atom): -9.6138
Space-group type: I4/mmm

a = 5.1921 Å, b = 5.1921 Å, c = 5.1921 Å
α = 110.09°, β = 109.16°, γ = 109.16°
With the nearest neighbours (Å) after each atom.
Sites, in units of the cell vectors:
1 V 0.5000 0.0000 0.0000  4 Tc 2.60, 2 Mo 2.60
2 V 0.5000 0.5000 0.5000  4 Tc 2.60, 2 Mo 2.60
3 V 0.0000 0.0000 0.5000  4 Tc 2.60, 2 Mo 2.60
4 V 0.0000 0.5000 0.0000  2 Mo 2.60, 4 Tc 2.60
5 Tc 0.5000 0.5000 0.0000  8 V 2.60
6 Tc 0.5000 0.0000 0.5000  8 V 2.60
7 Mo 0.0000 0.0000 0.0000  8 V 2.60

---

Sequential energy relative to the elements output: 1.51; 0.11 eV/atom
Sequential DOS(E_F) output: 9.10; 6.07 states/eV per cell
Sequential theoretical density output: 8.6; 7.6 g/cm3